Entry 1:
## Pu2GeOs (PBE)

Data for a relaxed Pu2GeOs crystal.

## Properties
density of states at the Fermi level: 10.60 states/eV/cell
calculated volume: 79 Å³/f.u.
magnetic moment: 2.32 μB/atom
ΔE_f: -0.8 eV per formula unit
space-group type: No. 123
E_tot: -11.3335 eV per atom

Cell and atoms, written as POSCAR:
```
Pu2GeOs
1.0
3.7315 0.0000 0.0000
0.0000 3.7315 0.0000
0.0000 0.0000 5.7075
Pu Ge Os
2 1 1
Direct
0.0000 0.0000 0.2494
0.0000 0.0000 0.7506
0.5000 0.5000 0.5000
0.5000 0.5000 0.0000
```

Entry 2:
## Sr3Ga2Rh7 (PBE)

Data for a relaxed Sr3Ga2Rh7 crystal.

## Properties
density of states at the Fermi level: 5.60 states/eV/cell
calculated volume: 225 Å³/f.u.
magnetic moment: 0.00 μB/atom
ΔE_f: -5.7 eV per formula unit
space-group type: No. 166
E_tot: -5.6842 eV per atom

Cell and atoms, written as POSCAR:
```
Sr3Ga2Rh7
1.0
2.7916 1.6117 8.3194
-2.7916 1.6117 8.3194
0.0000 -3.2235 8.3194
Sr Ga Rh
3 2 7
Direct
0.0000 0.0000 0.0000
0.1403 0.1403 0.1403
0.8597 0.8597 0.8597
0.3345 0.3345 0.3345
0.6655 0.6655 0.6655
0.0779 0.5803 0.5803
0.4197 0.4197 0.9221
0.4197 0.9221 0.4197
0.5000 0.5000 0.5000
0.5803 0.0779 0.5803
0.5803 0.5803 0.0779
0.9221 0.4197 0.4197
```

Entry 3:
## LaH4Pd3 (PBE)

Data for a relaxed LaH4Pd3 crystal.

## Properties
density of states at the Fermi level: 5.08 states/eV/cell
calculated volume: 90 Å³/f.u.
magnetic moment: 0.00 μB/atom
space-group type: No. 223
E_tot: -4.5917 eV per atom

Cell and atoms, written as POSCAR:
```
LaH4Pd3
1.0
5.6375 0.0000 0.0000
0.0000 5.6375 0.0000
0.0000 0.0000 5.6375
La H Pd
2 8 6
Direct
0.0000 0.0000 0.0000
0.5000 0.5000 0.5000
0.2500 0.2500 0.2500
0.2500 0.2500 0.7500
0.2500 0.7500 0.2500
0.2500 0.7500 0.7500
0.7500 0.2500 0.2500
0.7500 0.2500 0.7500
0.7500 0.7500 0.2500
0.7500 0.7500 0.7500
0.0000 0.2500 0.5000
0.0000 0.7500 0.5000
0.2500 0.5000 0.0000
0.5000 0.0000 0.2500
0.5000 0.0000 0.7500
0.7500 0.5000 0.0000
```

Entry 4:
## Ac2YNi2 (PBE)

Data for a relaxed Ac2YNi2 crystal.

## Properties
density of states at the Fermi level: 3.41 states/eV/cell
calculated volume: 135 Å³/f.u.
magnetic moment: 0.00 μB/atom
ΔE_f: -1.0 eV per formula unit
space-group type: No. 65
E_tot: -5.4458 eV per atom

Cell and atoms, written as POSCAR:
```
Ac2YNi2
1.0
2.1937 -7.4178 0.0000
2.1937 7.4178 0.0000
0.0000 0.0000 4.1574
Ac Y Ni
2 1 2
Direct
0.1448 0.8552 0.0000
0.8552 0.1448 0.0000
0.5000 0.5000 0.5000
0.3000 0.7000 0.5000
0.7000 0.3000 0.5000
```

Entry 5:
## Cd4InHg8 (PBE)

Data for a relaxed Cd4InHg8 crystal.

## Properties
density of states at the Fermi level: 4.39 states/eV/cell
calculated volume: 349 Å³/f.u.
magnetic moment: 0.00 μB/atom
ΔE_f: 0.3 eV per formula unit
excess energy over the best structure of this formula in the dataset: 0 meV per atom
space-group type: No. 8
E_tot: -0.6532 eV per atom

Cell and atoms, written as POSCAR:
```
Cd4InHg8
1.0
10.2424 -1.6230 0.0000
10.2424 1.6230 0.0000
-9.8610 0.0000 10.4997
Cd In Hg
4 1 8
Direct
0.0000 0.0000 0.0000
0.1209 0.1209 0.6724
0.5493 0.5493 0.4334
0.6725 0.6725 0.1151
0.1157 0.1157 0.8785
0.2252 0.2252 0.3457
0.2259 0.2259 0.5564
0.3203 0.3203 0.0425
0.4306 0.4306 0.7553
0.4360 0.4360 0.5460
0.5269 0.5269 0.2090
0.8011 0.8011 0.8227
0.8704 0.8704 0.2882
```

Entry 6:
## CuSb2Pt (PBE)

Data for a relaxed CuSb2Pt crystal.

## Properties
density of states at the Fermi level: 2.03 states/eV/cell
calculated volume: 81 Å³/f.u.
magnetic moment: 0.00 μB/atom
space-group type: No. 216
E_tot: -4.3164 eV per atom

Cell and atoms, written as POSCAR:
```
CuSb2Pt
1.0
0.0000 3.4307 3.4307
3.4307 0.0000 3.4307
3.4307 3.4307 0.0000
Cu Sb Pt
1 2 1
Direct
0.0000 0.0000 0.0000
0.5000 0.5000 0.5000
0.7500 0.7500 0.7500
0.2500 0.2500 0.2500
```

Entry 7:
## HPtS (PBE)

Data for a relaxed HPtS crystal.

## Properties
density of states at the Fermi level: 0.50 states/eV/cell
calculated volume: 40 Å³/f.u.
magnetic moment: 0.00 μB/atom
excess energy over the best structure of this formula in the dataset: 15 meV per atom
space-group type: No. 38
E_tot: -4.4646 eV per atom

Cell and atoms, written as POSCAR:
```
HPtS
1.0
2.7306 0.0000 0.0000
0.0000 2.2791 3.2237
0.0000 -2.2791 3.2237
H Pt S
1 1 1
Direct
0.0000 0.0000 0.0000
0.0000 0.2427 0.2427
0.0000 0.6386 0.6386
```

Entry 8:
## TlTeN2F (PBE)

Data for a relaxed TlTeN2F crystal.

## Properties
density of states at the Fermi level: 1.16 states/eV/cell
calculated volume: 80 Å³/f.u.
magnetic moment: 0.00 μB/atom
excess energy over the best structure of this formula in the dataset: 0 meV per atom
space-group type: No. 123
E_tot: -4.3411 eV per atom

Cell and atoms, written as POSCAR:
```
TlTeN2F
1.0
4.0889 0.0000 0.0000
0.0000 4.0889 0.0000
0.0000 0.0000 4.7979
Tl Te N F
1 1 2 1
Direct
0.0000 0.0000 0.0000
0.5000 0.5000 0.5000
0.0000 0.5000 0.5000
0.5000 0.0000 0.5000
0.5000 0.5000 0.0000
```

Entry 9:
## Ta2InAg (PBE)

Data for a relaxed Ta2InAg crystal.

## Properties
density of states at the Fermi level: 3.89 states/eV/cell
calculated volume: 76 Å³/f.u.
magnetic moment: 0.00 μB/atom
ΔE_f: 1.2 eV per formula unit
space-group type: No. 12
E_tot: -7.0350 eV per atom

Cell and atoms, written as POSCAR:
```
Ta2InAg
1.0
5.1811 -1.5465 0.0000
5.1811 1.5465 0.0000
-1.0996 0.0000 4.7212
Ta In Ag
2 1 1
Direct
0.2491 0.2491 0.2452
0.7509 0.7509 0.7548
0.0000 0.0000 0.5000
0.5000 0.5000 0.0000
```

Entry 10:
## ScCo3As (PBE)

Data for a relaxed ScCo3As crystal.

## Properties
density of states at the Fermi level: 3.40 states/eV/cell
calculated volume: 81 Å³/f.u.
magnetic moment: 0.60 μB/atom
ΔE_f: 0.8 eV per formula unit
excess energy over the best structure of this formula in the dataset: 0 meV per atom
space-group type: No. 221
E_tot: -6.2964 eV per atom

Cell and atoms, written as POSCAR:
```
ScCo3As
1.0
4.3226 0.0000 0.0000
0.0000 4.3226 0.0000
0.0000 0.0000 4.3226
Sc Co As
1 3 1
Direct
0.0000 0.0000 0.0000
0.0000 0.5000 0.5000
0.5000 0.0000 0.5000
0.5000 0.5000 0.0000
0.5000 0.5000 0.5000
```

Entry 11:
## BaSr2NiHg (PBE)

Data for a relaxed BaSr2NiHg crystal.

## Properties
density of states at the Fermi level: 5.37 states/eV/cell
calculated volume: 178 Å³/f.u.
magnetic moment: 0.00 μB/atom
ΔE_f: -0.2 eV per formula unit
excess energy over the best structure of this formula in the dataset: 49 meV per atom
space-group type: No. 123
E_tot: -2.3136 eV per atom

Cell and atoms, written as POSCAR:
```
BaSr2NiHg
1.0
5.7883 0.0000 0.0000
0.0000 5.7883 0.0000
0.0000 0.0000 5.3151
Ba Sr Ni Hg
1 2 1 1
Direct
0.0000 0.0000 0.0000
0.0000 0.5000 0.5000
0.5000 0.0000 0.5000
0.5000 0.5000 0.5000
0.5000 0.5000 0.0000
```

Entry 12:
## Cs6RbNa5 (PBE)

Data for a relaxed Cs6RbNa5 crystal.

## Properties
density of states at the Fermi level: 6.60 states/eV/cell
calculated volume: 898 Å³/f.u.
magnetic moment: 0.00 μB/atom
ΔE_f: 0.3 eV per formula unit
space-group type: No. 2
E_tot: -1.0331 eV per atom

Cell and atoms, written as POSCAR:
```
Cs6RbNa5
1.0
7.4838 0.0000 0.0000
-0.0014 10.7053 0.0000
-3.7049 -5.3454 11.2065
Cs Rb Na
6 1 5
Direct
0.9996 0.2257 0.4994
0.0004 0.7743 0.5006
0.3244 0.0635 0.1507
0.3247 0.5874 0.1511
0.6753 0.4126 0.8489
0.6756 0.9365 0.8493
0.5000 0.5000 0.5000
0.1549 0.6510 0.8055
0.1701 0.1691 0.8366
0.5000 0.0000 0.5000
0.8299 0.8309 0.1634
0.8451 0.3490 0.1945
```

Entry 13:
## CdO2F2 (PBE)

Data for a relaxed CdO2F2 crystal.

## Properties
density of states at the Fermi level: 5.15 states/eV/cell
calculated volume: 84 Å³/f.u.
magnetic moment: 0.79 μB/atom
space-group type: No. 123
E_tot: -3.0157 eV per atom

Cell and atoms, written as POSCAR:
```
CdO2F2
1.0
4.2635 0.0000 0.0000
0.0000 4.2635 0.0000
0.0000 0.0000 4.6001
Cd O F
1 2 2
Direct
0.0000 0.0000 0.0000
0.0000 0.0000 0.5000
0.5000 0.5000 0.5000
0.0000 0.5000 0.0000
0.5000 0.0000 0.0000
```

Entry 14:
## KSiSe3 (PBE)

Data for a relaxed KSiSe3 crystal.

## Properties
density of states at the Fermi level: 3.11 states/eV/cell
calculated volume: 183 Å³/f.u.
magnetic moment: 0.60 μB/atom
space-group type: No. 221
E_tot: -2.1325 eV per atom

Cell and atoms, written as POSCAR:
```
KSiSe3
1.0
5.6821 0.0000 0.0000
0.0000 5.6821 0.0000
0.0000 0.0000 5.6821
K Si Se
1 1 3
Direct
0.0000 0.0000 0.0000
0.5000 0.5000 0.5000
0.0000 0.0000 0.5000
0.0000 0.5000 0.0000
0.5000 0.0000 0.0000
```

Entry 15:
## Tm2HRh6 (PBE)

Data for a relaxed Tm2HRh6 crystal.

## Properties
density of states at the Fermi level: 8.04 states/eV/cell
calculated volume: 131 Å³/f.u.
magnetic moment: 0.00 μB/atom
space-group type: No. 139
E_tot: -6.8344 eV per atom

Cell and atoms, written as POSCAR:
```
Tm2HRh6
1.0
-2.8631 2.8631 4.0088
2.8631 -2.8631 4.0088
2.8631 2.8631 -4.0088
Tm H Rh
2 1 6
Direct
0.2500 0.7500 0.5000
0.7500 0.2500 0.5000
0.0000 0.0000 0.0000
0.2519 0.2519 0.5039
0.2519 0.7481 0.0000
0.2529 0.2529 0.0000
0.7471 0.7471 0.0000
0.7481 0.2519 0.0000
0.7481 0.7481 0.4961
```

Entry 16:
## Ac2CuRh (PBE)

Data for a relaxed Ac2CuRh crystal.

## Properties
density of states at the Fermi level: 1.99 states/eV/cell
calculated volume: 121 Å³/f.u.
magnetic moment: 0.00 μB/atom
ΔE_f: -1.5 eV per formula unit
space-group type: No. 160
E_tot: -5.2809 eV per atom

Cell and atoms, written as POSCAR:
```
Ac2CuRh
1.0
2.1465 1.2393 7.5515
-2.1465 1.2393 7.5515
0.0000 -2.4785 7.5515
Ac Cu Rh
2 1 1
Direct
0.0000 0.0000 0.0000
0.1851 0.1851 0.1851
0.7575 0.7575 0.7575
0.5927 0.5927 0.5927
```

Entry 17:
## TiZn2Pt2 (PBE)

Data for a relaxed TiZn2Pt2 crystal.

## Properties
density of states at the Fermi level: 7.33 states/eV/cell
calculated volume: 77 Å³/f.u.
magnetic moment: 0.00 μB/atom
ΔE_f: -2.7 eV per formula unit
excess energy over the best structure of this formula in the dataset: 90 meV per atom
space-group type: No. 127
E_tot: -5.0383 eV per atom

Cell and atoms, written as POSCAR:
```
TiZn2Pt2
1.0
7.4049 0.0000 0.0000
0.0000 7.4049 0.0000
0.0000 0.0000 2.7970
Ti Zn Pt
2 4 4
Direct
0.0000 0.0000 0.0000
0.5000 0.5000 0.0000
0.1196 0.3804 0.0000
0.3804 0.8804 0.0000
0.6196 0.1196 0.0000
0.8804 0.6196 0.0000
0.1792 0.6792 0.5000
0.3208 0.1792 0.5000
0.6792 0.8208 0.5000
0.8208 0.3208 0.5000
```

Entry 18:
## La2Ho2Pt3 (PBE)

Data for a relaxed La2Ho2Pt3 crystal.

## Properties
density of states at the Fermi level: 11.51 states/eV/cell
calculated volume: 177 Å³/f.u.
magnetic moment: 0.00 μB/atom
ΔE_f: -7.5 eV per formula unit
space-group type: No. 199
E_tot: -6.3789 eV per atom

Cell and atoms, written as POSCAR:
```
La2Ho2Pt3
1.0
-4.4598 4.4598 4.4598
4.4598 -4.4598 4.4598
4.4598 4.4598 -4.4598
La Ho Pt
4 4 6
Direct
0.0000 0.1237 0.5000
0.1237 0.5000 0.0000
0.3763 0.3763 0.3763
0.5000 0.0000 0.1237
0.0000 0.6227 0.5000
0.5000 0.0000 0.6227
0.6227 0.5000 0.0000
0.8773 0.8773 0.8773
0.1097 0.8597 0.2500
0.2500 0.1097 0.8597
0.3903 0.6403 0.7500
0.6403 0.7500 0.3903
0.7500 0.3903 0.6403
0.8597 0.2500 0.1097
```

Entry 19:
## ErBe9Nb2 (PBE)

Data for a relaxed ErBe9Nb2 crystal.

## Properties
density of states at the Fermi level: 16.12 states/eV/cell
calculated volume: 138 Å³/f.u.
magnetic moment: 0.00 μB/atom
ΔE_f: -2.1 eV per formula unit
space-group type: No. 194
E_tot: -5.0291 eV per atom

Cell and atoms, written as POSCAR:
```
ErBe9Nb2
1.0
4.6754 0.0000 0.0000
-2.3377 4.0490 0.0000
0.0000 0.0000 14.5272
Er Be Nb
2 18 4
Direct
0.3333 0.6667 0.2500
0.6667 0.3333 0.7500
0.0000 0.0000 0.0000
0.0000 0.0000 0.2500
0.0000 0.0000 0.5000
0.0000 0.0000 0.7500
0.1696 0.3393 0.6237
0.1696 0.3393 0.8763
0.1696 0.8304 0.6237
0.1696 0.8304 0.8763
0.3333 0.6667 0.7500
0.3393 0.1696 0.1237
0.3393 0.1696 0.3763
0.6607 0.8304 0.6237
0.6607 0.8304 0.8763
0.6667 0.3333 0.2500
0.8304 0.1696 0.1237
0.8304 0.1696 0.3763
0.8304 0.6607 0.1237
0.8304 0.6607 0.3763
0.3333 0.6667 0.0342
0.3333 0.6667 0.4658
0.6667 0.3333 0.5342
0.6667 0.3333 0.9658
```

Entry 20:
## SrCa2Be (PBE)

Data for a relaxed SrCa2Be crystal.

## Properties
density of states at the Fermi level: 3.60 states/eV/cell
calculated volume: 137 Å³/f.u.
magnetic moment: 0.00 μB/atom
ΔE_f: 1.1 eV per formula unit
space-group type: No. 71
E_tot: -2.0812 eV per atom

Cell and atoms, written as POSCAR:
```
SrCa2Be
1.0
-1.8967 2.9442 6.1531
1.8967 -2.9442 6.1531
1.8967 2.9442 -6.1531
Sr Ca Be
1 2 1
Direct
0.0000 0.0000 0.0000
0.3119 0.8119 0.5000
0.6881 0.1881 0.5000
0.5000 0.5000 0.0000
```